Record 1
LiBi2As: relaxed, PBE.

a = 9.6330 Å, b = 9.6330 Å, c = 9.6330 Å
α = 23.56°, β = 23.56°, γ = 23.56°
Closest atoms and distances in Å follow each position.
Element x y z (fractional)
Li 0.0000 0.0000 0.0000  2 Bi 2.83
Bi 0.1007 0.1007 0.1007  1 Li 2.83, 3 As 2.93
Bi 0.8993 0.8993 0.8993  1 Li 2.83, 3 As 2.93
As 0.5000 0.5000 0.5000  6 Bi 2.93

Calculated values
The calculation puts the density of states at the Fermi level at 2.8 states/eV/cell.

---

Record 2
Ba2NaGa2: relaxed, PBE.

a = 9.0420 Å, b = 9.0420 Å, c = 4.8562 Å
α = 90.00°, β = 90.00°, γ = 151.39°
Closest atoms and distances in Å follow each position.
Element x y z (fractional)
Ba 0.1405 0.8595 0.0000  6 Ga 3.51-3.55
Ba 0.8595 0.1405 0.0000  6 Ga 3.51-3.55
Na 0.5000 0.5000 0.5000  2 Ga 3.76, 8 Ba 4.12
Ga 0.2853 0.7147 0.5000  2 Ga 2.55
Ga 0.7147 0.2853 0.5000  2 Ga 2.55

Calculated values
The calculation puts the density of states at the Fermi level at 3.1 states/eV/cell. The value obtained for the energy above the most stable polymorph in this dataset is 0 meV/atom.

---

Record 3
UNi2B4: relaxed, PBE.

a = 7.5295 Å, b = 7.5295 Å, c = 7.5295 Å
α = 156.81°, β = 155.95°, γ = 33.65°
Closest atoms and distances in Å follow each position.
Element x y z (fractional)
U 0.0000 0.0000 0.0000  12 B 2.65-2.74
Ni 0.1991 0.6991 0.5000  7 B 2.08-2.27
Ni 0.8009 0.3009 0.5000  7 B 2.08-2.27
B 0.3440 0.8440 0.5000  2 B 1.69
B 0.3956 0.3956 0.0000  2 B 1.69
B 0.6044 0.6044 0.0000  2 B 1.69
B 0.6560 0.1560 0.5000  2 B 1.69

Calculated values
The calculation puts the density of states at the Fermi level at 4.9 states/eV/cell.

---

Record 4
Hf2VPd: relaxed, PBE.

a = 4.6721 Å, b = 4.6721 Å, c = 4.6721 Å
α = 60.00°, β = 60.00°, γ = 60.00°
Closest atoms and distances in Å follow each position.
Element x y z (fractional)
Hf 0.2500 0.2500 0.2500  4 Pd 2.86, 4 V 2.86
Hf 0.7500 0.7500 0.7500  4 Pd 2.86, 4 V 2.86
V 0.0000 0.0000 0.0000  8 Hf 2.86
Pd 0.5000 0.5000 0.5000  8 Hf 2.86

Calculated values
The calculation puts the density of states at the Fermi level at 5.0 states/eV/cell. The value obtained for the energy above the most stable polymorph in this dataset is 126 meV/atom.

---

| no. | calculated formation energy (eV per atom) |
| --- | --- |
| 1 | 0.124 |
| 2 | -0.300 |
| 3 | -0.279 |
| 4 | -0.212 |